No. 1
The following is a DFT calculation (PBEsol) of crystalline InTe2As at its relaxed geometry.

Lattice parameters (Å, degrees): 6.6798 6.6798 4.2990 108.51 108.51 37.54
Last column: nearest neighbours and their distance in Å.
Positions (direct):
In  0.0000  0.0000  0.0000  4 As 3.04, 2 Te 3.12
Te  0.2615  0.2615  0.2614  1 As 2.84, 4 Te 3.05, 1 In 3.12
Te  0.7385  0.7385  0.7386  1 As 2.84, 4 Te 3.05, 1 In 3.12
As  0.5000  0.5000  0.5000  2 Te 2.84, 4 In 3.04

energy relative to the elements, uncorrected	0.01	eV/f.u.

No. 2
The following is a DFT calculation (PBEsol) of crystalline Si2MoO6 at its relaxed geometry.

Lattice parameters (Å, degrees): 6.5661 6.5661 5.3165 104.69 104.69 83.37
Last column: nearest neighbours and their distance in Å.
Positions (direct):
Si  0.1066  0.2828  0.2381  4 O 1.62-1.67
Si  0.2828  0.1066  0.7381  4 O 1.62-1.67
Si  0.7172  0.8934  0.2619  4 O 1.62-1.67
Si  0.8934  0.7172  0.7619  4 O 1.62-1.67
Mo  0.4085  0.5915  0.7500  6 O 1.93-2.11
Mo  0.5915  0.4085  0.2500  6 O 1.93-2.11
O  0.1264  0.6017  0.7996  1 Si 1.62
O  0.1394  0.1395  0.9540  2 Si 1.62
O  0.1395  0.1394  0.4540  2 Si 1.62
O  0.2972  0.4540  0.3524  1 Si 1.67
O  0.3983  0.8736  0.7004  1 Si 1.62
O  0.4540  0.2972  0.8524  1 Si 1.67
O  0.5460  0.7028  0.1476  1 Si 1.67
O  0.6017  0.1264  0.2996  1 Si 1.62
O  0.7028  0.5460  0.6476  1 Si 1.67
O  0.8605  0.8606  0.5460  2 Si 1.62
O  0.8606  0.8605  0.0460  2 Si 1.62
O  0.8736  0.3983  0.2004  1 Si 1.62

energy relative to the elements, uncorrected	-21.23	eV/f.u.

No. 3
The following is a DFT calculation (PBEsol) of crystalline RbFeAs2Se at its relaxed geometry.

Lattice parameters (Å, degrees): 5.3870 5.3870 5.5055 90.00 90.00 90.00
Last column: nearest neighbours and their distance in Å.
Positions (direct):
Rb  0.0000  0.0000  0.0000  4 As 2.69, 2 Se 2.75
Fe  0.5000  0.5000  0.5000  4 Se 3.81, 8 As 3.85
As  0.0000  0.5000  0.0000  2 Rb 2.69
As  0.5000  0.0000  0.0000  2 Rb 2.69
Se  0.0000  0.0000  0.5000  2 Rb 2.75

energy relative to the elements, uncorrected	10.53	eV/f.u.